(1)
First-principles (PBE) data for a relaxed structure of TlSeN, as listed in Alexandria.

Lattice parameters (Å, degrees): 11.5766 11.1824 4.8592 82.26 73.16 24.58
With the nearest neighbours (Å) after each atom.
Atoms (fractional coordinates):
1 Tl 0.1589 0.1589 0.8411  4 Se 3.13
2 Tl 0.8411 0.8411 0.1589  4 Se 3.13
3 Se 0.2500 0.2500 0.2500  2 Se 2.71
4 Se 0.7500 0.7500 0.7500  2 Se 2.71
5 N 0.4310 0.5690 0.4310  1 N 1.11
6 N 0.5690 0.4310 0.5690  1 N 1.11

Output
The total magnetization comes out at 0.0 μB per cell. The calculation puts the uncorrected formation energy at -125 meV per atom. As for the relative energy among the computed polymorphs: 0.0238 eV per atom. The theoretical density comes out at 4.17 g/cm3. The density of states at the Fermi level comes out at 2.21 states/eV per cell.

=====

(2)
First-principles (PBE) data for a relaxed structure of Na12Hg6Au, as listed in Alexandria.

Lattice parameters (Å, degrees): 8.8278 8.8278 8.8278 110.80 110.80 110.80
With the nearest neighbours (Å) after each atom.
Atoms (fractional coordinates):
1 Na 0.0309 0.1811 0.2989  7 Na 3.19-3.43, 4 Hg 3.29-3.41, 1 Au 3.34
2 Na 0.1811 0.2989 0.0309  7 Na 3.19-3.43, 4 Hg 3.29-3.41, 1 Au 3.34
3 Na 0.2501 0.6683 0.6171  6 Na 3.19-3.53, 5 Hg 3.25-3.37, 1 Au 3.32
4 Na 0.2989 0.0309 0.1811  7 Na 3.19-3.43, 4 Hg 3.29-3.41, 1 Au 3.34
5 Na 0.3317 0.3829 0.7499  6 Na 3.19-3.53, 5 Hg 3.25-3.37, 1 Au 3.32
6 Na 0.3829 0.7499 0.3317  6 Na 3.19-3.53, 5 Hg 3.25-3.37, 1 Au 3.32
7 Na 0.6171 0.2501 0.6683  6 Na 3.19-3.53, 5 Hg 3.25-3.37, 1 Au 3.32
8 Na 0.6683 0.6171 0.2501  6 Na 3.19-3.53, 5 Hg 3.25-3.37, 1 Au 3.32
9 Na 0.7011 0.9691 0.8189  7 Na 3.19-3.43, 4 Hg 3.29-3.41, 1 Au 3.34
10 Na 0.7499 0.3317 0.3829  6 Na 3.19-3.53, 5 Hg 3.25-3.37, 1 Au 3.32
11 Na 0.8189 0.7011 0.9691  7 Na 3.19-3.43, 4 Hg 3.29-3.41, 1 Au 3.34
12 Na 0.9691 0.8189 0.7011  7 Na 3.19-3.43, 4 Hg 3.29-3.41, 1 Au 3.34
13 Hg 0.0805 0.5483 0.8573  9 Na 3.25-3.41, 3 Hg 3.28-3.51
14 Hg 0.1427 0.9195 0.4517  9 Na 3.25-3.41, 3 Hg 3.28-3.51
15 Hg 0.4517 0.1427 0.9195  9 Na 3.25-3.41, 3 Hg 3.28-3.51
16 Hg 0.5483 0.8573 0.0805  9 Na 3.25-3.41, 3 Hg 3.28-3.51
17 Hg 0.8573 0.0805 0.5483  9 Na 3.25-3.41, 3 Hg 3.28-3.51
18 Hg 0.9195 0.4517 0.1427  9 Na 3.25-3.41, 3 Hg 3.28-3.51
19 Au 0.5000 0.5000 0.5000  12 Na 3.32-3.34

Output
The total magnetization comes out at 0.0 μB per cell. The energy of formation is -0.19 eV/atom. The theoretical density comes out at 5.55 g/cm3. The density of states at the Fermi level comes out at 8.12 states/eV per cell.

=====

(3)
First-principles (PBE) data for a relaxed structure of Li2Dy3Hg4, as listed in Alexandria.

Lattice parameters (Å, degrees): 5.2346 5.2346 9.0455 98.65 98.65 59.02
With the nearest neighbours (Å) after each atom.
Atoms (fractional coordinates):
1 Li 0.2265 0.2265 0.4016  4 Hg 2.68-2.99
2 Li 0.7735 0.7735 0.5984  4 Hg 2.68-2.99
3 Dy 0.1252 0.1252 0.7378  7 Hg 3.11-3.45, 4 Li 3.23-3.33
4 Dy 0.5000 0.5000 0.0000  8 Hg 3.11-3.16
5 Dy 0.8748 0.8748 0.2622  7 Hg 3.11-3.45, 4 Li 3.23-3.33
6 Hg 0.1889 0.1889 0.0976  1 Li 2.71
7 Hg 0.4409 0.4409 0.6457  3 Li 2.68-2.99
8 Hg 0.5591 0.5591 0.3543  3 Li 2.68-2.99
9 Hg 0.8111 0.8111 0.9024  1 Li 2.71

Output
The total magnetization comes out at 0.0 μB per cell. The energy of formation is -0.39 eV/atom. The theoretical density comes out at 10.34 g/cm3. The density of states at the Fermi level comes out at 5.23 states/eV per cell.

=====

(4)
First-principles (PBE) data for a relaxed structure of CaIn2P, as listed in Alexandria.

Lattice parameters (Å, degrees): 6.5911 6.5911 6.5911 101.77 101.77 126.30
With the nearest neighbours (Å) after each atom.
Atoms (fractional coordinates):
1 Ca 0.0000 0.0000 0.0000  2 P 2.98
2 Ca 0.7500 0.2500 0.5000  2 P 2.98
3 In 0.1781 0.6250 0.0531  2 P 2.75
4 In 0.3750 0.4281 0.5531  2 P 2.75
5 In 0.5719 0.1250 0.9469  2 P 2.75
6 In 0.8750 0.8219 0.4469  2 P 2.75
7 P 0.2500 0.7500 0.5000  4 In 2.75, 2 Ca 2.98
8 P 0.5000 0.5000 0.0000  4 In 2.75, 2 Ca 2.98

Output
The total magnetization comes out at 0.0 μB per cell. The energy of formation is -0.36 eV/atom. The theoretical density comes out at 4.85 g/cm3. The density of states at the Fermi level comes out at 2.58 states/eV per cell.

=====

(5)
First-principles (PBE) data for a relaxed structure of LiOs4W, as listed in Alexandria.

Lattice parameters (Å, degrees): 5.1037 5.1037 5.1037 60.00 60.00 60.00
With the nearest neighbours (Å) after each atom.
Atoms (fractional coordinates):
1 Li 0.0000 0.0000 0.0000  12 Os 2.99, 4 W 3.13
2 Os 0.1236 0.6255 0.6255  6 Os 2.54-2.56
3 Os 0.6255 0.1236 0.6255  6 Os 2.54-2.56
4 Os 0.6255 0.6255 0.1236  6 Os 2.54-2.56
5 Os 0.6255 0.6255 0.6255  6 Os 2.54-2.56
6 W 0.2500 0.2500 0.2500  12 Os 2.99, 4 Li 3.13

Output
The total magnetization comes out at 0.0 μB per cell. The energy of formation is 0.47 eV/atom. The theoretical density comes out at 16.81 g/cm3. The density of states at the Fermi level comes out at 5.39 states/eV per cell.

=====

(6)
First-principles (PBE) data for a relaxed structure of NiAg3Pb, as listed in Alexandria.

Lattice parameters (Å, degrees): 5.2926 5.2926 5.2926 90.00 90.00 90.00
With the nearest neighbours (Å) after each atom.
Atoms (fractional coordinates):
1 Ni 0.0000 0.0000 0.0000  12 Ag 3.74
2 Ag 0.0000 0.5000 0.5000  2 Pb 2.65
3 Ag 0.5000 0.0000 0.5000  2 Pb 2.65
4 Ag 0.5000 0.5000 0.0000  2 Pb 2.65
5 Pb 0.5000 0.5000 0.5000  6 Ag 2.65

Output
The total magnetization comes out at 1.1 μB per cell. The energy of formation is 1.23 eV/atom. As for the relative energy among the computed polymorphs: 0.6927 eV per atom. The theoretical density comes out at 6.60 g/cm3. The density of states at the Fermi level comes out at 5.62 states/eV per cell.